Record 1
This record from Alexandria describes crystalline MnCuAsO4 at its relaxed geometry. The functional is GGA+U.

```
14
Lattice="-2.7184 3.7180 2.7735 -3.0848 -3.6768 -2.4230 0.2934 -3.7363 5.2962" Properties=species:S:1:pos:R:3 pbc="T T T"
Mn -2.7549 -1.8475 2.8234
Mn -2.9016 0.0206 0.1753
Cu -2.7164 1.3440 3.0857
Cu -2.7934 -5.0391 2.5611
As -2.9582 -3.5356 -0.3433
As -2.5517 -0.1595 5.9900
O -1.1577 -2.9737 3.9275
O -4.2234 -2.9519 4.1127
O -2.5300 -1.7965 6.5420
O -2.6560 -0.1907 4.2658
O -2.9799 -1.8986 -0.8953
O -2.8538 -3.5044 1.3810
O -4.3521 -0.7214 1.7192
O -1.2864 -0.7432 1.5341
```

Values from the calculation:
Its crystal system is orthorhombic. The total energy is -6.332 eV per atom. The space group is Cmcm, No. 63.


Record 2
This record from Alexandria describes crystalline MnCuAs2O6 at its relaxed geometry. The functional is GGA+U.

```
20
Lattice="-3.6692 3.5406 -3.2609 -6.5638 -1.7945 1.5510 -1.3498 5.6895 3.8100" Properties=species:S:1:pos:R:3 pbc="T T T"
Mn -6.9414 -0.1347 0.9696
Mn -4.6414 7.5702 1.1305
Cu -3.4883 4.8217 2.4657
Cu -8.0944 2.6138 -0.3655
As -6.8751 3.0264 2.6289
As -3.7302 1.4086 0.7303
As -4.7077 4.4091 -0.5288
As -7.8526 6.0270 1.3698
O -7.8920 3.3248 4.0478
O -2.6972 1.1332 -0.6816
O -3.6908 4.1107 -1.9476
O -8.8856 6.3023 2.7817
O -7.6230 1.9639 1.4489
O -4.6968 0.0102 1.1676
O -3.9598 5.4716 0.6513
O -6.8860 7.4254 0.9326
O -5.3360 2.1468 3.2883
O -4.9231 2.7850 0.2209
O -6.2468 5.2887 -1.1882
O -6.6597 4.6505 1.8793
```

Values from the calculation:
Its crystal system is monoclinic. The total energy is -6.134 eV per atom. The space group is C2/c, No. 15.


Record 3
This record from Alexandria describes crystalline MnCu2AsO8 at its relaxed geometry. The functional is GGA+U.

```
12
Lattice="-2.8591 4.6891 1.1603 -3.4233 -4.4486 -0.0176 3.9360 -0.7498 3.9312" Properties=species:S:1:pos:R:3 pbc="T T T"
Mn -1.3142 -2.5390 2.2425
Cu -1.0321 2.0298 2.8314
Cu -3.1412 0.1203 0.5714
As 0.0000 0.0000 0.0000
O -0.9196 0.8272 1.2193
O -2.4004 -1.4688 1.6441
O 1.2266 0.9147 3.2165
O -0.2712 3.1990 4.2847
O -3.4029 1.3299 2.2124
O -1.6232 3.6114 1.7328
O -1.3145 0.4817 4.0890
O -0.1159 -1.7943 3.0747
```

Values from the calculation:
Its crystal system is tetragonal. The total energy is -5.496 eV per atom. The space group is I-4m2, No. 119.